Entry 1:
Entry from the Alexandria database: crystalline Na2B3C at its relaxed geometry (GGA-PBE).

Lattice parameters (Å, degrees): 2.7848 8.6492 10.5234 90.00 90.00 90.00
With the nearest neighbours (Å) after each atom.
Atoms (fractional coordinates):
Na: 0.0000 0.4993 0.5011  11 B 2.66-2.96, 4 Na 2.78-2.98, 1 C 2.85
Na: 0.5000 0.5007 0.2489  11 B 2.66-2.96, 4 Na 2.78-2.98, 1 C 2.85
Na: 0.0000 0.5022 0.9990  7 B 2.66-2.80, 5 C 2.67-2.75, 6 Na 2.78-2.98
Na: 0.5000 0.0022 0.7510  7 B 2.66-2.80, 5 C 2.67-2.75, 6 Na 2.78-2.98
Na: 0.0000 0.0007 0.5011  11 B 2.66-2.96, 4 Na 2.78-2.98, 1 C 2.85
Na: 0.5000 0.4978 0.7510  7 B 2.66-2.80, 5 C 2.67-2.75, 6 Na 2.78-2.98
Na: 0.0000 0.9978 0.9990  7 B 2.66-2.80, 5 C 2.67-2.75, 6 Na 2.78-2.98
Na: 0.5000 0.9993 0.2489  11 B 2.66-2.96, 4 Na 2.78-2.98, 1 C 2.85
B: 0.5000 0.7500 0.9186  3 C 1.61-1.62
B: 0.5000 0.7500 0.5857  3 B 1.72-1.79
B: 0.0000 0.2500 0.3275  3 B 1.72-1.80
B: 0.0000 0.2500 0.1643  3 B 1.72-1.79
B: 0.5000 0.7500 0.4225  3 B 1.72-1.80
B: 0.5000 0.2500 0.6014  2 C 1.61, 1 B 1.75
B: 0.0000 0.7500 0.3147  3 B 1.75-1.80
B: 0.0000 0.7500 0.6922  1 C 1.55
B: 0.0000 0.2500 0.8314  3 C 1.61-1.62
B: 0.5000 0.2500 0.4353  3 B 1.75-1.80
B: 0.0000 0.7500 0.1486  2 C 1.61, 1 B 1.75
B: 0.5000 0.2500 0.0578  1 C 1.55
C: 0.5000 0.2500 0.9102  3 B 1.55-1.62
C: 0.0000 0.7500 0.8398  3 B 1.55-1.62
C: 0.5000 0.7500 0.0713  3 B 1.61
C: 0.0000 0.2500 0.6787  3 B 1.61

The value obtained for the formation energy is 3.28 kcal/mol of atoms. As for the distance to the lowest polymorph of the same formula: 9 meV per atom. The value obtained for the density is 2.37 Mg/m³. Its total magnetization is 0.00 μB/f.u.

Entry 2:
Entry from the Alexandria database: crystalline Na5B8C2 at its relaxed geometry (GGA-PBE).

Lattice parameters (Å, degrees): 7.7623 7.7625 10.4291 122.03 122.01 38.30
With the nearest neighbours (Å) after each atom.
Atoms (fractional coordinates):
C: 0.0447 0.3549 0.7494  3 B 1.57-1.61
C: 0.5617 0.2384 0.2500  3 B 1.57-1.69
C: 0.7655 0.4350 0.2507  3 B 1.64-1.67
C: 0.3653 0.0350 0.2502  3 B 1.64-1.67
Na: 0.2020 0.2001 0.0020  9 B 2.69-2.80, 3 C 2.72-2.74, 6 Na 2.92-2.96
Na: 0.9987 0.0042 0.0012  10 B 2.67-2.86, 2 C 2.73-2.74, 6 Na 2.92-2.96
Na: 0.4015 0.3997 0.0022  9 B 2.69-2.80, 3 C 2.72-2.75, 6 Na 2.92-2.96
Na: 0.9983 0.9983 0.4954  10 B 2.71-2.81, 2 C 2.73-2.75, 6 Na 2.93-2.95
Na: 0.5967 0.6023 0.0010  10 B 2.67-2.86, 2 C 2.73-2.74, 6 Na 2.92-2.96
Na: 0.6004 0.5974 0.4974  9 B 2.68-2.79, 3 C 2.72-2.79, 6 Na 2.93-2.95
Na: 0.1996 0.1992 0.4980  9 B 2.67-2.80, 3 C 2.72-2.74, 6 Na 2.92-2.95
Na: 0.7968 0.8024 0.4991  10 B 2.68-2.85, 2 C 2.73-2.74, 6 Na 2.92-2.95
Na: 0.8021 0.8017 0.0048  10 B 2.71-2.80, 2 C 2.73-2.82, 6 Na 2.93-2.95
Na: 0.3971 0.4015 0.4990  10 B 2.71-2.85, 2 C 2.73, 6 Na 2.93-2.95
B: 0.7902 0.4278 0.7497  1 C 1.57, 1 B 1.73
B: 0.9717 0.6102 0.7499  1 C 1.57, 1 B 1.73
B: 0.2529 0.5462 0.2495  1 C 1.57
B: 0.8163 0.1798 0.7498  3 B 1.71-1.77
B: 0.2198 0.5838 0.7501  3 B 1.71-1.77
B: 0.0391 0.3511 0.2501  2 C 1.64-1.67, 1 B 1.78
B: 0.5551 0.2367 0.7501  3 B 1.67-1.74
B: 0.6198 0.9780 0.2499  2 C 1.65-1.69, 1 B 1.74
B: 0.3605 0.0393 0.7500  1 C 1.61, 2 B 1.75
B: 0.6437 0.9598 0.7504  3 B 1.67-1.75
B: 0.8221 0.1797 0.2502  2 C 1.66-1.69, 1 B 1.74
B: 0.4491 0.7608 0.2502  2 C 1.64-1.67, 1 B 1.78
B: 0.1638 0.8386 0.2498  3 B 1.74-1.78
B: 0.9609 0.6361 0.2493  3 B 1.74-1.78
B: 0.1640 0.8451 0.7503  3 B 1.66-1.74
B: 0.4407 0.7568 0.7505  3 B 1.66-1.75

The value obtained for the formation energy is 4.82 kcal/mol of atoms. As for the distance to the lowest polymorph of the same formula: 39 meV per atom. The value obtained for the density is 2.32 Mg/m³. Its total magnetization is 0.00 μB/f.u.

Entry 3:
Entry from the Alexandria database: crystalline Na2B3C at its relaxed geometry (GGA-PBE).

Lattice parameters (Å, degrees): 9.9715 9.0755 5.8404 80.75 63.90 35.32
With the nearest neighbours (Å) after each atom.
Atoms (fractional coordinates):
C: 0.7083 0.0417 0.9583  3 B 1.58
C: 0.7905 0.4590 0.5437  3 B 1.65-1.69
C: 0.7905 0.4595 0.0405  3 B 1.65-1.70
C: 0.2937 0.9568 0.0405  3 B 1.65-1.69
B: 0.6995 0.0512 0.4629  3 B 1.72-1.73
B: 0.2129 0.5365 0.9495  3 B 1.72-1.73
B: 0.5521 0.1982 0.2704  1 C 1.58, 2 B 1.72
B: 0.5522 0.1978 0.8022  1 C 1.58, 2 B 1.72
B: 0.9446 0.3048 0.7152  2 C 1.65, 1 B 1.75
B: 0.4652 0.7854 0.1946  2 C 1.65, 1 B 1.75
B: 0.2916 0.9584 0.5416  3 B 1.75-1.76
B: 0.9586 0.2914 0.2086  3 C 1.69-1.70
B: 0.0417 0.7083 0.2917  3 B 1.73
B: 0.2131 0.5369 0.4631  3 B 1.72-1.73
B: 0.4652 0.7848 0.7152  2 C 1.65, 1 B 1.76
B: 0.0204 0.7293 0.8021  1 C 1.58, 2 B 1.72
Na: 0.2494 0.2496 0.7507  10 B 2.70-2.81, 2 C 2.72-2.73, 6 Na 2.92
Na: 0.2499 0.2497 0.2500  9 B 2.70-2.75, 3 C 2.73, 6 Na 2.92
Na: 0.7498 0.7497 0.2502  9 B 2.70-2.75, 3 C 2.73, 6 Na 2.92
Na: 0.5007 0.5003 0.4994  10 B 2.70-2.81, 2 C 2.72-2.73, 6 Na 2.92
Na: 0.7511 0.7513 0.7489  8 B 2.68-2.73, 4 C 2.71-2.75, 6 Na 2.92
Na: 0.0000 0.0003 0.4999  9 B 2.70-2.75, 3 C 2.73, 6 Na 2.92
Na: 0.4989 0.4987 0.0011  8 B 2.68-2.73, 4 C 2.71-2.75, 6 Na 2.92
Na: 0.0002 0.0003 0.9998  9 B 2.70-2.75, 3 C 2.73, 6 Na 2.92

The value obtained for the formation energy is 4.10 kcal/mol of atoms. As for the distance to the lowest polymorph of the same formula: 44 meV per atom. The value obtained for the density is 2.37 Mg/m³. Its total magnetization is 0.00 μB/f.u.

Entry 4:
Entry from the Alexandria database: crystalline Na2B3C at its relaxed geometry (GGA-PBE).

Lattice parameters (Å, degrees): 9.0519 9.0665 9.0665 32.89 32.26 32.26
With the nearest neighbours (Å) after each atom.
Atoms (fractional coordinates):
B: 0.0994 0.7426 0.4081  1 C 1.64, 2 B 1.67-1.78
B: 0.9167 0.2374 0.5959  2 C 1.66, 1 B 1.76
B: 0.0878 0.4236 0.7389  3 B 1.67-1.78
B: 0.9167 0.5794 0.2540  3 B 1.76-1.77
B: 0.2639 0.5875 0.8987  2 C 1.63-1.66, 1 B 1.77
B: 0.7340 0.4252 0.0908  1 C 1.64, 2 B 1.67-1.78
B: 0.7456 0.0945 0.4097  3 B 1.67-1.78
B: 0.4167 0.0582 0.7752  1 C 1.54
B: 0.5694 0.9347 0.2458  2 C 1.63-1.66, 1 B 1.77
Na: 0.1684 0.1660 0.1673  9 B 2.66-2.78, 3 C 2.70-2.74, 6 Na 2.88-2.95
Na: 0.8339 0.8347 0.8334  9 B 2.69-2.79, 3 C 2.70-2.73, 6 Na 2.88-2.95
Na: 0.9994 0.9999 0.9986  9 B 2.69-2.79, 3 C 2.70-2.73, 6 Na 2.88-2.95
Na: 0.6650 0.6660 0.6673  9 B 2.66-2.78, 3 C 2.70-2.74, 6 Na 2.88-2.95
Na: 0.3332 0.3325 0.3316  9 B 2.65-2.84, 3 C 2.69-2.78, 6 Na 2.88-2.95
Na: 0.5001 0.5017 0.5008  9 B 2.65-2.84, 3 C 2.69-2.78, 6 Na 2.88-2.95
C: 0.4167 0.7575 0.0758  3 B 1.54-1.64
C: 0.5818 0.2468 0.9215  3 B 1.63-1.66
C: 0.2516 0.9118 0.5865  3 B 1.63-1.66

The value obtained for the formation energy is 4.46 kcal/mol of atoms. As for the distance to the lowest polymorph of the same formula: 60 meV per atom. The value obtained for the density is 2.36 Mg/m³. Its total magnetization is 0.00 μB/f.u.

> total magnetization of number 4 (Na2B3C)?

0.00 μB/f.u.